## LiTbTmGe (PBE)

Data for a relaxed structure of LiTbTmGe.

Computed properties:
ΔE_f = -0.3993 eV/atom
total magnetization = 0.00 μB per formula unit
calculated density = 7.7 g/cm3

abc: 4.9889 4.9889 4.9889
angles: 60.00 60.00 60.00
With the nearest neighbours (Å) after each atom.
Fractional coordinates of all 4 atoms:
Ge 0.2500 0.2500 0.2500  4 Tb 3.06, 4 Tm 3.06
Tm 0.5000 0.5000 0.5000  4 Ge 3.06, 4 Li 3.06
Tb 0.0000 0.0000 0.0000  4 Li 3.06, 4 Ge 3.06
Li 0.7500 0.7500 0.7500  4 Tb 3.06, 4 Tm 3.06

=====

## NdSbPd (PBE)

Data for a relaxed structure of NdSbPd.

Computed properties:
uncorrected formation energy = -1.9 eV per formula unit
total magnetization = 0.00 μB per formula unit
calculated density = 8.0 g/cm3

abc: 4.1682 4.1682 5.3201
angles: 113.06 113.06 90.00
With the nearest neighbours (Å) after each atom.
Fractional coordinates of all 3 atoms:
Sb 0.9617 0.9617 0.9234  1 Pd 2.73, 1 Nd 3.04
Nd 0.6187 0.6187 0.2375  5 Sb 3.04-3.26, 5 Pd 3.09-3.24
Pd 0.2696 0.2696 0.5392  1 Sb 2.73

=====

## SrNbC2I (PBE)

Data for a relaxed structure of SrNbC2I.

Computed properties:
energy above the lowest structure with this stoichiometry = 0.0000 eV/atom
uncorrected formation energy = 12.6 eV per formula unit
total magnetization = 1.74 μB per formula unit
calculated density = 4.7 g/cm3

abc: 4.7805 5.1304 4.7805
angles: 90.00 90.00 90.00
With the nearest neighbours (Å) after each atom.
Fractional coordinates of all 5 atoms:
I 0.0000 0.0000 0.0000  4 C 2.39, 2 Nb 2.57
Sr 0.5000 0.5000 0.5000  4 Nb 3.38, 8 C 3.51
Nb 0.0000 0.5000 0.0000  2 I 2.57
C 0.0000 0.0000 0.5000  2 I 2.39
C 0.5000 0.0000 0.0000  2 I 2.39

=====

## DyLu2Ir (PBE)

Data for a relaxed structure of DyLu2Ir.

Computed properties:
energy above the lowest structure with this stoichiometry = 0.0000 eV/atom
ΔE_f = -0.4815 eV/atom
total magnetization = 0.00 μB per formula unit
calculated density = 11.6 g/cm3

abc: 3.3987 3.3987 8.7066
angles: 90.00 90.00 90.00
With the nearest neighbours (Å) after each atom.
Fractional coordinates of all 4 atoms:
Ir 0.5000 0.5000 0.0000  8 Lu 2.90
Lu 0.0000 0.0000 0.8139  4 Ir 2.90, 1 Lu 3.24
Lu 0.0000 0.0000 0.1861  4 Ir 2.90, 1 Lu 3.24
Dy 0.5000 0.5000 0.5000  4 Dy 3.40, 8 Lu 3.64

=====

## LaPm3Pt8 (PBE)

Data for a relaxed structure of LaPm3Pt8.

Computed properties:
ΔE_f = -1.0206 eV/atom
total magnetization = 0.00 μB per formula unit
calculated density = 14.8 g/cm3

abc: 5.5201 5.5201 9.0595
angles: 90.00 90.00 120.00
With the nearest neighbours (Å) after each atom.
Fractional coordinates of all 12 atoms:
La 0.0000 0.0000 0.5665  12 Pt 3.23-3.29, 4 Pm 3.37-3.41
Pm 0.6667 0.3333 0.4318  12 Pt 3.22-3.30, 1 Pm 3.33, 3 La 3.41
Pm 0.6667 0.3333 0.0639  12 Pt 3.23-3.24, 4 Pm 3.33-3.38
Pm 0.0000 0.0000 0.9381  12 Pt 3.23-3.24, 1 La 3.37, 3 Pm 3.38
Pt 0.3333 0.6667 0.4999  6 Pt 2.79
Pt 0.3333 0.6667 0.9994  6 Pt 2.76-2.77
Pt 0.5019 0.0038 0.7516  6 Pt 2.73-2.79
Pt 0.5019 0.4981 0.7516  6 Pt 2.73-2.79
Pt 0.9962 0.4981 0.7516  6 Pt 2.73-2.79
Pt 0.1653 0.3305 0.2485  6 Pt 2.74-2.79
Pt 0.1653 0.8347 0.2485  6 Pt 2.74-2.79
Pt 0.6695 0.8347 0.2485  6 Pt 2.74-2.79

=====

## PmNd8Dy6 (PBE)

Data for a relaxed structure of PmNd8Dy6.

Computed properties:
energy above the lowest structure with this stoichiometry = 0.0054 eV/atom
ΔE_f = 0.1604 eV/atom
total magnetization = 0.00 μB per formula unit
calculated density = 7.4 g/cm3

abc: 5.9567 9.9650 9.9650
angles: 120.00 90.00 90.00
With the nearest neighbours (Å) after each atom.
Fractional coordinates of all 15 atoms:
Pm 0.5000 0.0000 0.0000  6 Nd 3.01
Nd 0.7746 0.0526 0.2760  1 Pm 3.01
Nd 0.7746 0.7240 0.7766  1 Pm 3.01
Nd 0.7746 0.2234 0.9474  1 Pm 3.01
Nd 0.2254 0.9474 0.7240  1 Pm 3.01
Nd 0.2254 0.2760 0.2234  1 Pm 3.01
Nd 0.2254 0.7766 0.0526  1 Pm 3.01
Nd 0.7772 0.3333 0.6667  3 Nd 3.48, 9 Dy 3.62-3.79
Nd 0.2228 0.6667 0.3333  3 Nd 3.48, 9 Dy 3.62-3.79
Dy 0.7409 0.6208 0.0926  8 Nd 3.39-3.79, 2 Dy 3.60-3.78
Dy 0.7409 0.9074 0.5282  8 Nd 3.39-3.79, 2 Dy 3.60-3.78
Dy 0.7409 0.4718 0.3792  8 Nd 3.39-3.79, 2 Dy 3.60-3.78
Dy 0.2591 0.3792 0.9074  8 Nd 3.39-3.79, 2 Dy 3.60-3.78
Dy 0.2591 0.0926 0.4718  8 Nd 3.39-3.79, 2 Dy 3.60-3.78
Dy 0.2591 0.5282 0.6208  8 Nd 3.39-3.79, 2 Dy 3.60-3.78

=====

Number 1: raw total energy -17.23 eV/cell. Number 2: raw total energy -16.01 eV/cell. Number 3: raw total energy -19.20 eV/cell. Number 4: raw total energy -24.43 eV/cell. Number 5: raw total energy -79.75 eV/cell. Number 6: raw total energy -68.10 eV/cell.